(1)
! Dy4CdHg2Ir | Alexandria | PBE | relaxed; values from VASP
! - Electronic total energy: -4.160 eV/atom
! - M_tot: 0.00 μB/f.u.
! - ΔE_f: -0.56 eV/atom
! - D(E_F): 4.32 states/eV per cell
&SYSTEM
  ibrav = 0, nat = 8, ntyp = 4
/
ATOMIC_SPECIES
Hg 200.59 Hg.upf
Dy 162.50 Dy.upf
Ir 192.22 Ir.upf
Cd 112.41 Cd.upf
CELL_PARAMETERS angstrom
5.1705 0.0000 0.0000
2.5852 4.4778 0.0000
2.5852 1.4926 8.3883
ATOMIC_POSITIONS crystal
Hg 0.7379 0.7379 0.7862
Hg 0.2621 0.2621 0.2138
Dy 0.1328 0.1328 0.6016
Dy 0.3870 0.3870 0.8389
Dy 0.6130 0.6130 0.1611
Dy 0.8672 0.8672 0.3984
Ir 0.5000 0.5000 0.5000
Cd 0.0000 0.0000 0.0000



(2)
! LiTmHfPt | Alexandria | PBE | relaxed; values from VASP
! - Electronic total energy: -6.125 eV/atom
! - M_tot: 0.00 μB/f.u.
! - ΔE_f: -0.53 eV/atom
! - D(E_F): 2.78 states/eV per cell
&SYSTEM
  ibrav = 0, nat = 4, ntyp = 4
/
ATOMIC_SPECIES
Tm 168.93 Tm.upf
Hf 178.49 Hf.upf
Pt 195.08 Pt.upf
Li 6.94 Li.upf
CELL_PARAMETERS angstrom
-0.4532 -4.3419 1.9548
2.1658 -3.7637 -2.0057
3.7376 -2.0466 2.1728
ATOMIC_POSITIONS crystal
Tm 0.0000 0.0000 0.0000
Hf 0.5000 0.5000 0.5000
Pt 0.2500 0.2500 0.2500
Li 0.7500 0.7500 0.7500



(3)
! K2Pt2Se | Alexandria | PBE | relaxed; values from VASP
! - Electronic total energy: -3.819 eV/atom
! - M_tot: 0.00 μB/f.u.
! - Raw formation energy: -25.8 kJ/mol of atoms
! - D(E_F): 5.85 states/eV per cell
&SYSTEM
  ibrav = 0, nat = 5, ntyp = 3
/
ATOMIC_SPECIES
K 39.10 K.upf
Pt 195.08 Pt.upf
Se 78.96 Se.upf
CELL_PARAMETERS angstrom
3.6607 0.0000 0.0000
0.0000 3.6607 0.0000
1.8304 1.8304 10.0982
ATOMIC_POSITIONS crystal
K 0.6045 0.6045 0.7911
K 0.3955 0.3955 0.2089
Pt 0.7500 0.2500 0.5000
Pt 0.2500 0.7500 0.5000
Se 0.0000 0.0000 0.0000